Material: Sr2FeRhO5
Method: DFT, PBE with a Hubbard U
State: relaxed

Cell: 3.3940 6.9096 10.6342 Å, 90.00 90.00 104.22°
Site moments in Bohr magnetons follow the coordinates.
Fractional positions:
Sr1 0.8554 0.7108 0.8006  0.01
Sr2 0.1030 0.2060 0.6770  0.00
Sr3 0.1446 0.2892 0.3006  0.01
Sr4 0.8970 0.7940 0.1770  0.00
Fe1 0.5312 0.0623 0.9550  4.25
Fe2 0.4688 0.9377 0.4550  4.25
Rh1 0.7854 0.5707 0.5212  0.06
Rh2 0.2146 0.4293 0.0212  0.06
O1 0.3788 0.7576 0.9994  0.09
O2 0.6867 0.3734 0.9031  0.09
O3 0.4970 0.9941 0.7845  0.18
O4 0.2803 0.5605 0.6436  0.00
O5 0.9394 0.8788 0.5397  0.19
O6 0.6212 0.2424 0.4994  0.09
O7 0.3133 0.6266 0.4031  0.09
O8 0.5030 0.0059 0.2845  0.18
O9 0.7197 0.4395 0.1436  0.00
O10 0.0606 0.1212 0.0397  0.19

## Properties
Total magnetic moment ... 9.99 μB per cell
Space group ... Cmc2_1 (36)
Energy ... -115.8 eV for the cell shown